MgTlO after structural relaxation, computed with GGA-PBE.

Unit cell a=3.3891 b=3.3609 c=12.4022 alpha=90.00 beta=90.00 gamma=120.28
Closest atoms and distances in Å follow each position.
Atoms (fractional coordinates):
Mg (0.6682, 0.3365, 0.7500)  3 O 1.94-1.95
Mg (0.6682, 0.3365, 0.2500)  3 O 1.94-1.95
O (0.3332, 0.6664, 0.2500)  3 Mg 1.94-1.95
O (0.3332, 0.6664, 0.7500)  3 Mg 1.94-1.95
Tl (0.3321, 0.6642, 0.0000)  2 O 3.10, 6 Tl 3.36-3.39
Tl (0.3316, 0.6633, 0.5000)  2 O 3.10, 6 Tl 3.36-3.39

Output
- E (eV per atom) = -4.422
- uncorrected formation energy (kJ/mol of formula units) = -419.5
- SG = No. 38